Al3NiRu, relaxed, DFT PBE-GGA; space group = Pm-3m; D(E_F) = 4.19 states/eV/cell; total energy = -4.92 eV/atom; DFT formation energy = 0.340 eV/atom; polymorph energy (0 for the lowest one) = 86.5 meV/atom
1.0
4.601 0.000 0.000
0.000 4.601 0.000
0.000 0.000 4.601
Ru Al Ni
1 3 1
direct
0.000 0.000 0.000
0.000 0.500 0.000
0.000 0.000 0.500
0.500 0.000 0.000
0.500 0.500 0.500

***

AlNiRu2, relaxed, DFT PBE-GGA; space group = Cmm2; D(E_F) = 4.30 states/eV/cell; total energy = -6.94 eV/atom; DFT formation energy = 0.080 eV/atom
1.0
2.675 -0.001 0.000
-1.188 2.397 0.000
0.000 0.000 8.442
Ru Al Ni
2 1 1
direct
0.000 0.000 0.993
0.500 0.500 0.259
0.000 0.000 0.509
0.500 0.500 0.738

***

Al5NiRu4, relaxed, DFT PBE-GGA; space group = P4/mmm; D(E_F) = 8.60 states/eV/cell; total energy = -6.84 eV/atom; DFT formation energy = -0.675 eV/atom
1.0
3.007 0.000 0.000
0.000 3.007 0.000
0.000 0.000 14.768
Al Ni Ru
5 1 4
direct
0.500 0.500 0.098
0.500 0.500 0.296
0.500 0.500 0.500
0.500 0.500 0.704
0.500 0.500 0.902
0.000 0.000 0.000
0.000 0.000 0.193
0.000 0.000 0.398
0.000 0.000 0.602
0.000 0.000 0.807

***

AlNi2Ru, relaxed, DFT PBE-GGA; space group = I-42d; D(E_F) = 8.55 states/eV/cell; total energy = -5.99 eV/atom; DFT formation energy = 0.157 eV/atom
1.0
3.502 0.000 0.000
0.000 3.502 0.000
1.751 1.751 8.740
Ru Al Ni
2 2 4
direct
0.000 0.000 0.000
0.750 0.250 0.500
0.500 0.500 0.000
0.250 0.750 0.500
0.623 0.125 0.250
0.127 0.625 0.250
0.375 0.377 0.750
0.875 0.873 0.750

***

AlNi2Ru, relaxed, DFT PBE-GGA; space group = P4mm; D(E_F) = 4.93 states/eV/cell; total energy = -6.39 eV/atom; DFT formation energy = -0.242 eV/atom
1.0
-2.866 -0.552 0.465
-0.361 -0.552 -2.881
1.196 -5.452 0.896
Ru Al Ni
1 1 2
direct
0.000 0.000 0.491
0.500 0.500 0.767
0.000 0.000 0.002
0.500 0.500 0.240

***

AlNi2Ru, relaxed, DFT PBE-GGA; space group = C2/m; D(E_F) = 4.13 states/eV/cell; total energy = -6.38 eV/atom; DFT formation energy = -0.230 eV/atom
1.0
-1.385 -0.448 -4.311
1.146 -1.610 -4.099
-1.762 -3.862 -0.129
Ru Al Ni
1 1 2
direct
0.250 0.250 0.250
0.750 0.750 0.750
0.002 0.002 0.003
0.498 0.498 0.497

***

Al3NiRu, relaxed, DFT PBE-GGA; space group = Pm-3m; D(E_F) = 3.52 states/eV/cell; total energy = -5.00 eV/atom; DFT formation energy = 0.253 eV/atom; polymorph energy (0 for the lowest one) = 0.0 meV/atom
1.0
-1.587 -1.434 3.758
-3.449 -1.594 -2.064
2.070 -3.755 -0.559
Ru Al Ni
1 3 1
direct
0.500 0.500 0.500
0.000 0.500 0.000
0.000 0.000 0.500
0.500 0.000 0.000
0.000 0.000 0.000

***

AlNi2Ru, relaxed, DFT PBE-GGA; space group = I4/mmm; D(E_F) = 5.12 states/eV/cell; total energy = -6.40 eV/atom; DFT formation energy = -0.250 eV/atom
1.0
4.473 0.012 0.000
1.418 4.242 0.000
-2.946 -2.127 2.609
Ru Al Ni
1 1 2
direct
0.250 0.750 0.500
0.750 0.250 0.500
0.000 0.000 0.000
0.500 0.500 0.000

***

AlNi2Ru2, relaxed, DFT PBE-GGA; space group = P4/mbm; D(E_F) = 9.33 states/eV/cell; total energy = -6.60 eV/atom; DFT formation energy = 0.167 eV/atom; polymorph energy (0 for the lowest one) = 91.2 meV/atom
1.0
-3.354 -5.292 -1.569
1.914 -2.837 5.477
-2.658 1.221 1.561
Ru Al Ni
4 2 4
direct
0.365 0.865 0.000
0.865 0.635 0.000
0.635 0.135 0.000
0.135 0.365 0.000
0.000 0.000 0.000
0.500 0.500 0.000
0.164 0.664 0.500
0.664 0.836 0.500
0.836 0.336 0.500
0.336 0.164 0.500

***

AlNiRu2, relaxed, DFT PBE-GGA; space group = Cmmm; D(E_F) = 5.96 states/eV/cell; total energy = -6.95 eV/atom; DFT formation energy = 0.073 eV/atom
1.0
-0.094 -2.579 -0.731
1.007 0.430 2.448
-7.584 -0.641 3.232
Ru Al Ni
2 1 1
direct
0.000 0.000 0.001
0.000 0.000 0.499
0.500 0.500 0.250
0.500 0.500 0.750

***

AlNi2Ru, relaxed, DFT PBE-GGA; space group = P2/m; D(E_F) = 5.16 states/eV/cell; total energy = -6.36 eV/atom; DFT formation energy = -0.218 eV/atom
1.0
3.647 0.000 0.000
0.000 2.628 0.035
0.000 2.571 5.197
Ru Al Ni
1 1 2
direct
0.500 0.250 0.250
0.500 0.750 0.750
0.000 0.000 0.000
0.000 0.500 0.500

***

Al2NiRu, relaxed, DFT PBE-GGA; space group = Fm-3m; D(E_F) = 1.79 states/eV/cell; total energy = -6.33 eV/atom; DFT formation energy = -0.695 eV/atom; polymorph energy (0 for the lowest one) = 42.1 meV/atom
1.0
1.175 0.402 3.983
-2.551 -1.233 3.063
0.930 -3.387 2.253
Ru Al Ni
1 2 1
direct
0.500 0.500 0.500
0.250 0.250 0.250
0.750 0.750 0.750
0.000 0.000 0.000

***

Question: Among the records above, which one has the lowest DFT formation energy?
Answer: Al2NiRu

***

Question: Look up the total energy of the eleventh one.
Answer: -6.36 eV/atom

***

Question: DFT formation energy of number 11 (AlNi2Ru)?
Answer: -0.218 eV/atom